# 1
# TmMnO3 PBE+U optimized geometry
data_TmMnO3
_cell_length_a 5.801
_cell_length_b 3.732
_cell_length_c 6.004
_cell_angle_alpha 90.00
_cell_angle_beta 103.24
_cell_angle_gamma 90.00
_symmetry_space_group_name_H-M 'P 1 21/m 1'
_symmetry_Int_Tables_number 11
loop_
_symmetry_equiv_pos_as_xyz
'x,y,z'
'-x,-y,-z'
'-x,y+1/2,-z'
'x,-y+1/2,z'
loop_
_atom_site_label
_atom_site_fract_x
_atom_site_fract_y
_atom_site_fract_z
Tm1 0.045 0.250 0.254
Mn1 0.491 0.250 0.721
O1 0.152 0.250 0.644
O2 0.186 0.750 0.101
O3 0.464 0.250 0.329
# DFT total energy = -39.9 eV/f.u.

***

# 2
# NiPbF6 PBE+U optimized geometry
data_NiPbF6
_cell_length_a 4.992
_cell_length_b 9.038
_cell_length_c 5.809
_cell_angle_alpha 90.00
_cell_angle_beta 99.92
_cell_angle_gamma 90.00
_symmetry_space_group_name_H-M 'C 1 2/m 1'
_symmetry_Int_Tables_number 12
loop_
_symmetry_equiv_pos_as_xyz
'x,y,z'
'-x,-y,-z'
'-x,y,-z'
'x,-y,z'
'x+1/2,y+1/2,z'
'-x+1/2,-y+1/2,-z'
'-x+1/2,y+1/2,-z'
'x+1/2,-y+1/2,z'
loop_
_atom_site_label
_atom_site_fract_x
_atom_site_fract_y
_atom_site_fract_z
Ni1 0.000 0.000 0.000
Pb1 0.000 0.000 0.500
F1 0.151 0.145 0.778
F2 0.192 0.500 0.716
# DFT total energy = -32.4 eV/f.u.